No. 1
Material: YTiCuH2
Method: DFT, SCAN
State: PBEsol geometry

Lattice parameters (Å, degrees): 3.7924 3.7924 4.8341 90.00 90.00 90.00
Space group P4/mmm (No. 123)
Inequivalent atoms, fractional coordinates:
Y (0.0000, 0.0000, 0.0000)
Ti (0.5000, 0.5000, 0.5000)
Cu (0.5000, 0.5000, 0.0000)
H (0.0000, 0.5000, 0.5000)

Values from the calculation:
* energy: -13.213 eV per atom
* magnetization: 0.00 μB/f.u.

No. 2
Material: TlCu2H2
Method: DFT, SCAN
State: PBEsol geometry

Lattice parameters (Å, degrees): 3.4416 3.4416 11.0582 90.00 90.00 90.00
Space group I4/mmm (No. 139)
Inequivalent atoms, fractional coordinates:
Tl (0.0000, 0.0000, 0.0000)
Cu (0.0000, 0.0000, 0.2664)
H (0.0000, 0.5000, 0.2500)

Values from the calculation:
* energy: -21.675 eV per atom
* magnetization: 0.00 μB/f.u.

No. 3
Material: CuH2W
Method: DFT, SCAN
State: PBEsol geometry

Lattice parameters (Å, degrees): 5.0599 5.0599 5.0599 90.00 90.00 90.00
Space group Fm-3m (No. 225)
Inequivalent atoms, fractional coordinates:
Cu (0.0000, 0.0000, 0.0000)
H (0.2500, 0.2500, 0.2500)
W (0.0000, 0.0000, 0.5000)

Values from the calculation:
* energy: -22.067 eV per atom
* magnetization: 0.00 μB/f.u.

No. 4
Material: Y2CuH2
Method: DFT, SCAN
State: PBEsol geometry

Lattice parameters (Å, degrees): 3.5110 3.5110 12.1163 90.00 90.00 90.00
Space group I4/mmm (No. 139)
Inequivalent atoms, fractional coordinates:
Y (0.0000, 0.0000, 0.1414)
Cu (0.0000, 0.0000, 0.5000)
H (0.0000, 0.5000, 0.2500)

Values from the calculation:
* energy: -16.135 eV per atom
* magnetization: 0.00 μB/f.u.

No. 5
Material: Hf7Cu10
Method: DFT, SCAN
State: PBEsol geometry

Lattice parameters (Å, degrees): 12.4139 9.1259 9.1560 90.00 90.00 90.00
Space group Cmce (No. 64)
Inequivalent atoms, fractional coordinates:
Hf (0.0000, 0.0000, 0.0000)
Hf (0.0000, 0.1890, 0.3078)
Hf (0.1890, 0.0000, 0.5000)
Hf (0.2500, 0.2361, 0.2500)
Cu (0.0000, 0.1064, 0.6021)
Cu (0.1456, 0.0174, 0.7950)
Cu (0.1462, 0.2039, 0.0076)

Values from the calculation:
* formation enthalpy at 0 K: -255 meV/atom
* energy: -35.002 eV per atom
* magnetization: 0.00 μB/f.u.

No. 6
Material: Hf2Cu
Method: DFT, SCAN
State: PBEsol geometry

Lattice parameters (Å, degrees): 3.1345 3.1345 10.9791 90.00 90.00 90.00
Space group I4/mmm (No. 139)
Inequivalent atoms, fractional coordinates:
Hf (0.0000, 0.0000, 0.1558)
Cu (0.0000, 0.0000, 0.5000)

Values from the calculation:
* formation enthalpy at 0 K: -189 meV/atom
* energy: -47.037 eV per atom
* magnetization: 0.00 μB/f.u.

No. 7
Material: Hf3CuHg
Method: DFT, SCAN
State: PBEsol geometry

Lattice parameters (Å, degrees): 5.1062 5.1062 5.1062 90.00 90.00 90.00
Space group Pm-3m (No. 221)
Inequivalent atoms, fractional coordinates:
Hf (0.0000, 0.0000, 0.5000)
Cu (0.5000, 0.5000, 0.5000)
Hg (0.0000, 0.0000, 0.0000)

Values from the calculation:
* formation enthalpy at 0 K: 1367 meV/atom
* energy: -52.910 eV per atom
* magnetization: 0.01 μB/f.u.

No. 8
Material: Hf2CuHgIr
Method: DFT, SCAN
State: PBEsol geometry

Lattice parameters (Å, degrees): 4.8925 4.8925 5.0828 90.00 90.00 90.00
Space group P4/mmm (No. 123)
Inequivalent atoms, fractional coordinates:
Hf (0.0000, 0.5000, 0.0000)
Cu (0.0000, 0.0000, 0.5000)
Hg (0.5000, 0.5000, 0.5000)
Ir (0.5000, 0.5000, 0.0000)

Values from the calculation:
* formation enthalpy at 0 K: 510 meV/atom
* energy: -55.452 eV per atom
* magnetization: 0.00 μB/f.u.

No. 9
Material: HfMg2CuHg
Method: DFT, SCAN
State: PBEsol geometry

Lattice parameters (Å, degrees): 4.6308 4.6308 4.7782 90.00 90.00 90.00
Space group P4/mmm (No. 123)
Inequivalent atoms, fractional coordinates:
Hf (0.0000, 0.0000, 0.0000)
Mg (0.0000, 0.5000, 0.5000)
Cu (0.5000, 0.5000, 0.5000)
Hg (0.5000, 0.5000, 0.0000)

Values from the calculation:
* formation enthalpy at 0 K: 397 meV/atom
* energy: -30.800 eV per atom
* magnetization: 0.00 μB/f.u.

No. 10
Material: HfCuI2
Method: DFT, SCAN
State: PBEsol geometry

Lattice parameters (Å, degrees): 7.0155 7.0155 7.0155 90.00 90.00 90.00
Space group Fm-3m (No. 225)
Inequivalent atoms, fractional coordinates:
Hf (0.0000, 0.0000, 0.0000)
Cu (0.0000, 0.0000, 0.5000)
I (0.2500, 0.2500, 0.2500)

Values from the calculation:
* energy: -37.423 eV per atom
* uncorrected formation energy: 0.42 eV per atom
* magnetization: 1.05 μB/f.u.

No. 11
Material: HfCuIr3
Method: DFT, SCAN
State: PBEsol geometry

Lattice parameters (Å, degrees): 4.3919 4.3919 4.3919 90.00 90.00 90.00
Space group Pm-3m (No. 221)
Inequivalent atoms, fractional coordinates:
Hf (0.0000, 0.0000, 0.0000)
Cu (0.5000, 0.5000, 0.5000)
Ir (0.0000, 0.5000, 0.5000)

Values from the calculation:
* formation enthalpy at 0 K: 804 meV/atom
* energy: -57.430 eV per atom
* magnetization: 0.00 μB/f.u.

No. 12
Material: K2HfCu
Method: DFT, SCAN
State: PBEsol geometry

Lattice parameters (Å, degrees): 7.9966 7.9966 7.9966 90.00 90.00 90.00
Space group Fm-3m (No. 225)
Inequivalent atoms, fractional coordinates:
K (0.2500, 0.2500, 0.2500)
Hf (0.0000, 0.0000, 0.0000)
Cu (0.0000, 0.0000, 0.5000)

Values from the calculation:
* formation enthalpy at 0 K: 1521 meV/atom
* energy: -22.111 eV per atom
* magnetization: 2.98 μB/f.u.

Question: What is the energy in the eleventh record?
Answer: -57.430 eV per atom

Question: Number 8 is which compound?
Answer: Hf2CuHgIr

Copy entry 7 word for word.
Material: Hf3CuHg
Method: DFT, SCAN
State: PBEsol geometry

Lattice parameters (Å, degrees): 5.1062 5.1062 5.1062 90.00 90.00 90.00
Space group Pm-3m (No. 221)
Inequivalent atoms, fractional coordinates:
Hf (0.0000, 0.0000, 0.5000)
Cu (0.5000, 0.5000, 0.5000)
Hg (0.0000, 0.0000, 0.0000)

Values from the calculation:
* formation enthalpy at 0 K: 1367 meV/atom
* energy: -52.910 eV per atom
* magnetization: 0.01 μB/f.u.

Question: Which of these has the highest energy?
Answer: YTiCuH2